# GGA-PBE ScTc2Sn, relaxed
data_ScTc2Sn
_cell_length_a 7.318
_cell_length_b 7.318
_cell_length_c 5.902
_cell_angle_alpha 51.68
_cell_angle_beta 51.68
_cell_angle_gamma 90.00
_space_group_name_H-M_alt 'P 1'
_space_group_IT_number 1
loop_
_space_group_symop_operation_xyz
'x,y,z'
loop_
_atom_site_label
_atom_site_fract_x
_atom_site_fract_y
_atom_site_fract_z
Tc1 0.629 0.125 0.250
Tc2 0.121 0.625 0.250
Tc3 0.375 0.371 0.750
Tc4 0.875 0.879 0.750
Sn1 0.750 0.250 0.500
Sn2 0.000 0.000 0.000
Sc1 0.500 0.500 0.000
Sc2 0.250 0.750 0.500
# Fermi-level density of states = 10.8 states/eV per cell
# Calculated total energy = -7.15 eV per atom



# GGA-PBE ScTc4Sn, relaxed
data_ScTc4Sn
_cell_length_a 5.238
_cell_length_b 5.238
_cell_length_c 5.238
_cell_angle_alpha 60.00
_cell_angle_beta 60.00
_cell_angle_gamma 60.00
_space_group_name_H-M_alt 'P 1'
_space_group_IT_number 1
loop_
_space_group_symop_operation_xyz
'x,y,z'
loop_
_atom_site_label
_atom_site_fract_x
_atom_site_fract_y
_atom_site_fract_z
Tc1 0.625 0.625 0.124
Tc2 0.625 0.625 0.625
Tc3 0.625 0.124 0.625
Tc4 0.124 0.625 0.625
Sn1 0.000 0.000 0.000
Sc1 0.250 0.250 0.250
# Fermi-level density of states = 7.0 states/eV per cell
# Calculated total energy = -8.68 eV per atom



# GGA-PBE ScTcSn, relaxed
data_ScTcSn
_cell_length_a 4.766
_cell_length_b 4.766
_cell_length_c 7.064
_cell_angle_alpha 70.28
_cell_angle_beta 70.28
_cell_angle_gamma 60.00
_space_group_name_H-M_alt 'P 1'
_space_group_IT_number 1
loop_
_space_group_symop_operation_xyz
'x,y,z'
loop_
_atom_site_label
_atom_site_fract_x
_atom_site_fract_y
_atom_site_fract_z
Sn1 0.906 0.906 0.282
Sn2 0.094 0.094 0.718
Tc1 0.233 0.233 0.301
Tc2 0.767 0.767 0.699
Sc1 0.627 0.627 0.118
Sc2 0.373 0.373 0.882
# Fermi-level density of states = 5.6 states/eV per cell
# Polymorph energy (0 for the lowest one) = 0.313 eV/atom
# Calculated total energy = -6.97 eV per atom



# GGA-PBE Sc2TcSn, relaxed
data_Sc2TcSn
_cell_length_a 4.192
_cell_length_b 4.192
_cell_length_c 10.207
_cell_angle_alpha 78.15
_cell_angle_beta 78.15
_cell_angle_gamma 90.00
_space_group_name_H-M_alt 'P 1'
_space_group_IT_number 1
loop_
_space_group_symop_operation_xyz
'x,y,z'
loop_
_atom_site_label
_atom_site_fract_x
_atom_site_fract_y
_atom_site_fract_z
Sn1 0.000 0.000 0.000
Sn2 0.750 0.250 0.500
Sc1 0.611 0.125 0.250
Sc2 0.875 0.861 0.750
Sc3 0.375 0.389 0.750
Sc4 0.139 0.625 0.250
Tc1 0.250 0.750 0.500
Tc2 0.500 0.500 0.000
# Fermi-level density of states = 7.3 states/eV per cell
# Calculated total energy = -6.45 eV per atom



Copy entry 1 word for word.
# GGA-PBE ScTc2Sn, relaxed
data_ScTc2Sn
_cell_length_a 7.318
_cell_length_b 7.318
_cell_length_c 5.902
_cell_angle_alpha 51.68
_cell_angle_beta 51.68
_cell_angle_gamma 90.00
_space_group_name_H-M_alt 'P 1'
_space_group_IT_number 1
loop_
_space_group_symop_operation_xyz
'x,y,z'
loop_
_atom_site_label
_atom_site_fract_x
_atom_site_fract_y
_atom_site_fract_z
Tc1 0.629 0.125 0.250
Tc2 0.121 0.625 0.250
Tc3 0.375 0.371 0.750
Tc4 0.875 0.879 0.750
Sn1 0.750 0.250 0.500
Sn2 0.000 0.000 0.000
Sc1 0.500 0.500 0.000
Sc2 0.250 0.750 0.500
# Fermi-level density of states = 10.8 states/eV per cell
# Calculated total energy = -7.15 eV per atom